Co7C6: optimized geometry, PBE.

```
Co7C6
1.0
-3.7620 -5.4374 1.4053
0.5913 -5.7071 3.5737
-2.8767 -2.8298 5.4230
C Co
6 7
Cartesian
-0.6505 -1.5033 1.1190 C
-5.3968 -12.4710 9.2830 C
-1.1092 -2.5630 1.9078 C
-4.9382 -11.4112 8.4941 C
-2.0451 -4.7257 3.5177 C
-4.0023 -9.2485 6.8843 C
-1.9913 -6.5930 3.1775 Co
-1.5295 -5.2328 5.2734 Co
-3.8004 -5.0921 4.1422 Co
-4.0560 -7.3812 7.2245 Co
-2.2470 -8.8822 6.2598 Co
-4.5179 -8.7415 5.1286 Co
-3.0237 -6.9871 5.2010 Co
```

Electronic total energy (eV/atom): -7.161
Density (g/cm³): 6.4
Fermi-level density of states (states/eV/atom): 0.944